Compound: LiNpTl2O6
Source: Alexandria via LeMat-Bulk
Functional: PBE-GGA
Structure: relaxed

Cell: 5.608 5.825 8.427 Å, 90.00 91.49 90.00°
Atoms (fractional coordinates):
1 O 0.615 0.060 0.256
2 O 0.672 0.299 0.568
3 Np 0.500 0.000 0.500
4 O 0.115 0.440 0.756
5 O 0.828 0.799 0.932
6 Li 0.000 0.500 0.500
7 O 0.885 0.560 0.244
8 O 0.198 0.179 0.447
9 Tl 0.494 0.450 0.252
10 O 0.328 0.701 0.432
11 Tl 0.006 0.950 0.248
12 O 0.802 0.821 0.553
13 O 0.302 0.679 0.053
14 O 0.172 0.201 0.068
15 Tl 0.506 0.550 0.748
16 O 0.698 0.321 0.947
17 O 0.385 0.940 0.744
18 Tl 0.994 0.050 0.752
19 Li 0.500 0.000 0.000
20 Np 0.000 0.500 0.000

For the density of states at the Fermi level, the calculation gives 0.258 states/eV/atom. The electronic total energy comes out at -6.552 eV/atom. Its formation energy (no corrections) is -1562 kJ/mol of formula units.